Compound: Ti2Ru2Au
Source: Alexandria via LeMat-Bulk
Functional: PBE-GGA
Structure: relaxed

Cell lengths 7.2176, 7.2176, 3.0462 Å; angles 90.00, 90.00, 90.00 degrees
Last column: nearest neighbours and their distance in Å.
Space group P4/mbm (No. 127)
Symmetry-distinct sites (fractional):
1 Ti 0.1587 0.3413 0.0000 (multiplicity 4)  6 Ru 2.57-2.63
2 Ru 0.1382 0.6382 0.5000 (multiplicity 4)  6 Ti 2.57-2.63, 2 Au 2.80, 1 Ru 2.82
3 Au 0.0000 0.0000 0.5000 (multiplicity 2)  4 Ru 2.80, 2 Au 3.05, 8 Ti 3.11

Summary:
- V (Å³/cell) = 158.69
- energy relative to the elements (eV per atom) = -0.352
- total magnetic moment (μB/cell) = 0.0